Entry from Alexandria via LeMat-Bulk: crystalline Ce2VZn at its relaxed geometry (PBE).

Properties
Distance to the lowest polymorph of the same formula in eV/atom: 0.200
DFT formation energy in eV/atom: 0.32

Cell: 2.9248 2.9248 32.0803 Å, 90.00 90.00 120.00°
Space group R-3m (No. 166, hexagonal axes)
Asymmetric unit:
Ce: 0.0000 0.0000 0.0807 [6 per cell]
V: 0.0000 0.0000 0.0000 [3 per cell]
Zn: 0.0000 0.0000 0.5000 [3 per cell]

Entry from Alexandria via LeMat-Bulk: crystalline BaDyTlCd at its relaxed geometry (PBE).

Properties
DFT formation energy in eV/atom: -0.23

Cell: 8.053 8.053 8.053 Å, 90.00 90.00 90.00°
Space group F-43m (No. 216)
Asymmetric unit:
Ba: 0.000 0.000 0.000 [4 per cell]
Dy: 0.000 0.000 0.500 [4 per cell]
Tl: 0.250 0.250 0.750 [4 per cell]
Cd: 0.250 0.250 0.250 [4 per cell]

Entry from Alexandria via LeMat-Bulk: crystalline K2BaMg at its relaxed geometry (PBE).

Properties
Distance to the lowest polymorph of the same formula in eV/atom: 0.054
DFT formation energy in eV/atom: 0.12

Cell: 16.447 4.356 6.567 Å, 90.00 113.37 90.00°
Space group C2/m (No. 12)
Asymmetric unit:
K: 0.207 0.000 0.207 [4 per cell]
Ba: 0.000 0.000 0.500 [2 per cell]
Mg: 0.000 0.500 0.000 [2 per cell]

Entry from Alexandria via LeMat-Bulk: crystalline Dy8Y4Ho3 at its relaxed geometry (PBE).

Properties
Distance to the lowest polymorph of the same formula in eV/atom: 0.263
DFT formation energy in eV/atom: 0.40

Cell: 13.349 12.755 6.745 Å, 90.00 120.31 90.00°
Space group C2/m (No. 12)
Asymmetric unit:
Dy: 0.000 0.141 0.000 [4 per cell]
Dy: 0.000 0.246 0.500 [4 per cell]
Dy: 0.229 0.000 0.465 [4 per cell]
Dy: 0.231 0.000 0.990 [4 per cell]
Y: 0.000 0.500 0.000 [2 per cell]
Y: 0.000 0.500 0.500 [2 per cell]
Y: 0.250 0.250 0.500 [4 per cell]
Ho: 0.000 0.000 0.500 [2 per cell]
Ho: 0.250 0.250 0.000 [4 per cell]